Li8MnCr3O12 after structural relaxation, computed with GGA+U.

The energy comes out at -6.163 eV per atom. As for the total magnetization: 0.375 μB per atom.

a = 4.966 Å, b = 4.954 Å, c = 8.440 Å
α = 90.76°, β = 90.61°, γ = 89.66°
Last column: magnetic moment on the atom in μB.
Positions (direct):
Li: 0.003 0.504 0.269  0.00
Li: 0.005 0.014 0.432  0.00
Li: 0.501 0.001 0.080  0.00
Li: 0.996 0.996 0.745  0.00
Li: 0.496 0.008 0.771  0.00
Li: 0.502 0.502 0.937  0.00
Li: 0.994 0.487 0.578  0.00
Li: 0.503 0.490 0.246  0.00
O: 0.757 0.153 0.255  -0.03
O: 0.788 0.676 0.080  -0.07
O: 0.747 0.635 0.758  -0.09
O: 0.287 0.325 0.433  -0.05
O: 0.251 0.860 0.259  -0.07
O: 0.779 0.167 0.931  -0.06
O: 0.221 0.829 0.932  -0.05
O: 0.213 0.330 0.082  -0.08
O: 0.280 0.817 0.581  -0.10
O: 0.712 0.174 0.582  -0.05
O: 0.720 0.682 0.433  -0.10
O: 0.240 0.351 0.760  -0.06
Cr: 0.494 0.509 0.600  2.21
Cr: 0.004 0.497 0.916  2.17
Cr: 0.507 0.992 0.413  2.19
Mn: 0.999 0.002 0.093  3.17